Below is crystalline Na3SrTi at its relaxed geometry, with properties calculated at the PBE-GGA level.

Properties
The value obtained for the energy above the lowest structure with this stoichiometry is 0 meV/atom. Its density of states at the Fermi level is 6.3 states/eV/cell. The total magnetization is 3.43 μB/f.u. The total energy comes out at -1.92 eV/atom. Its formation energy is 0.786 eV per atom.

Cell: 5.871 5.871 5.871 Å, 90.00 90.00 90.00°
Site moments in Bohr magnetons follow the coordinates.
Positions (direct):
Sr1 0.500 0.500 0.500  0.02
Na1 0.000 0.500 0.000  0.02
Na2 0.000 0.000 0.500  0.01
Na3 0.500 0.000 0.000  0.03
Ti1 0.000 0.000 0.000  2.12